VASP calculation (GGA-PBE) on a relaxed Ac2CdHg10 crystal.

Geometry as POSCAR:
```
Ac2CdHg10
1.0
5.8734 0.0000 0.0000
0.0000 13.4492 0.0000
0.0000 0.0000 10.9322
Hg Ac Cd
20 4 2
Direct
0.0000 0.1151 0.5294
0.0000 0.9707 0.7316
0.0000 0.0293 0.2684
0.0000 0.6151 0.9706
0.7447 0.3190 0.5883
0.0000 0.3849 0.0294
0.0000 0.8849 0.4706
0.2553 0.8189 0.9117
0.2553 0.1810 0.0883
0.7447 0.1811 0.0883
0.0000 0.4707 0.7684
0.0000 0.5293 0.2316
0.0000 0.6895 0.6864
0.0000 0.3105 0.3136
0.7447 0.8190 0.9117
0.2553 0.3189 0.5883
0.0000 0.8105 0.1864
0.7447 0.6811 0.4117
0.2553 0.6810 0.4117
0.0000 0.1895 0.8136
0.5000 0.6656 0.1281
0.5000 0.8344 0.6281
0.5000 0.1656 0.3719
0.5000 0.3344 0.8719
0.0000 0.0000 0.0000
0.0000 0.5000 0.5000
```

Properties
- M_tot (μB/cell) = 0.00
- energy relative to the elements (eV per atom) = -0.04
- DOS at the Fermi energy (states/eV per cell) = 16.412
- symmetry = No. 55